# Rb2Cd3Hg6

A relaxed Rb2Cd3Hg6 crystal (GGA-PBE, the Alexandria database).

Computed properties:
formation enthalpy at 0 K: -0.1111 eV/atom
magnetic moment: 0.000 μB/atom
total energy: -0.701 eV per atom
Fermi-level density of states: 6.70 states/eV/f.u.

a b c (Å): 5.326 8.967 8.967
angles (deg): 120.00 90.00 90.00
Positions (direct):
Rb 0.000 0.333 0.667
Rb 0.000 0.667 0.333
Cd 0.500 0.333 0.333
Cd 0.500 0.000 0.667
Cd 0.500 0.667 0.000
Hg 0.500 0.336 0.000
Hg 0.000 0.805 0.000
Hg 0.000 0.195 0.195
Hg 0.500 0.664 0.664
Hg 0.500 0.000 0.336
Hg 0.000 0.000 0.805

---

# Rb2Cd2Hg

A relaxed Rb2Cd2Hg crystal (GGA-PBE, the Alexandria database).

Computed properties:
formation enthalpy at 0 K: 0.0195 eV/atom
magnetic moment: 0.000 μB/atom
total energy: -0.794 eV per atom
Fermi-level density of states: 3.53 states/eV/f.u.

a b c (Å): 10.731 10.731 3.982
angles (deg): 90.00 90.00 90.00
Positions (direct):
Cd 0.903 0.403 0.500
Cd 0.597 0.903 0.500
Cd 0.097 0.597 0.500
Cd 0.403 0.097 0.500
Rb 0.307 0.807 0.000
Rb 0.193 0.307 0.000
Rb 0.693 0.193 0.000
Rb 0.807 0.693 0.000
Hg 0.500 0.500 0.000
Hg 0.000 0.000 0.000

---

# Rb2Cd3Hg5

A relaxed Rb2Cd3Hg5 crystal (GGA-PBE, the Alexandria database).

Computed properties:
formation enthalpy at 0 K: -0.1446 eV/atom
magnetic moment: 0.000 μB/atom
total energy: -0.764 eV per atom
Fermi-level density of states: 4.21 states/eV/f.u.

a b c (Å): 5.253 5.253 11.845
angles (deg): 90.00 90.00 90.00
Positions (direct):
Rb 0.000 0.500 0.751
Rb 0.500 0.000 0.249
Cd 0.000 0.500 0.385
Cd 0.000 0.000 0.500
Cd 0.500 0.000 0.615
Hg 0.500 0.500 0.500
Hg 0.500 0.500 0.000
Hg 0.000 0.000 0.000
Hg 0.500 0.000 0.861
Hg 0.000 0.500 0.139

---

# Rb14CdHg

A relaxed Rb14CdHg crystal (GGA-PBE, the Alexandria database).

Computed properties:
formation enthalpy at 0 K: -0.0025 eV/atom
magnetic moment: 0.000 μB/atom
total energy: -0.925 eV per atom
Fermi-level density of states: 12.23 states/eV/f.u.

a b c (Å): 9.675 9.675 13.667
angles (deg): 90.00 90.00 99.87
Positions (direct):
Rb 0.592 0.408 0.766
Rb 0.387 0.613 0.500
Rb 0.077 0.310 0.809
Rb 0.690 0.923 0.191
Rb 0.207 0.793 0.791
Rb 0.592 0.408 0.234
Rb 0.858 0.614 0.000
Rb 0.834 0.166 0.500
Rb 0.690 0.923 0.809
Rb 0.386 0.142 0.000
Rb 0.077 0.310 0.191
Rb 0.325 0.102 0.500
Rb 0.898 0.675 0.500
Rb 0.207 0.793 0.209
Cd 0.404 0.596 0.000
Hg 0.779 0.221 0.000

---

# RbCd6Hg

A relaxed RbCd6Hg crystal (GGA-PBE, the Alexandria database).

Computed properties:
formation enthalpy at 0 K: -0.0033 eV/atom
magnetic moment: 0.000 μB/atom
total energy: -0.848 eV per atom
Fermi-level density of states: 3.41 states/eV/f.u.

a b c (Å): 4.945 4.945 11.377
angles (deg): 77.45 77.45 60.00
Positions (direct):
Hg 0.000 0.000 0.000
Cd 0.091 0.091 0.728
Cd 0.370 0.370 0.889
Cd 0.255 0.255 0.236
Cd 0.909 0.909 0.272
Cd 0.745 0.745 0.764
Cd 0.630 0.630 0.111
Rb 0.500 0.500 0.500

---

# Rb5Cd2Hg

A relaxed Rb5Cd2Hg crystal (GGA-PBE, the Alexandria database).

Computed properties:
formation enthalpy at 0 K: -0.0765 eV/atom
magnetic moment: 0.000 μB/atom
total energy: -0.948 eV per atom
Fermi-level density of states: 4.95 states/eV/f.u.

a b c (Å): 9.706 9.706 11.501
angles (deg): 114.96 114.96 90.00
Positions (direct):
Rb 0.500 0.500 0.000
Rb 0.000 0.000 0.000
Rb 0.970 0.470 0.290
Rb 0.030 0.530 0.710
Rb 0.530 0.680 0.710
Rb 0.470 0.320 0.290
Rb 0.180 0.030 0.710
Rb 0.320 0.820 0.290
Rb 0.680 0.180 0.710
Rb 0.820 0.970 0.290
Cd 0.108 0.392 0.000
Cd 0.608 0.108 0.000
Cd 0.892 0.608 0.000
Cd 0.392 0.892 0.000
Hg 0.750 0.750 0.500
Hg 0.250 0.250 0.500

---

# Rb2CdHg7

A relaxed Rb2CdHg7 crystal (GGA-PBE, the Alexandria database).

Computed properties:
formation enthalpy at 0 K: -0.1823 eV/atom
magnetic moment: 0.000 μB/atom
total energy: -0.679 eV per atom
Fermi-level density of states: 2.10 states/eV/f.u.

a b c (Å): 5.070 5.070 12.957
angles (deg): 90.00 90.00 90.00
Positions (direct):
Hg 0.000 0.000 0.500
Hg 0.000 0.500 0.637
Hg 0.000 0.500 0.870
Hg 0.500 0.000 0.130
Hg 0.500 0.500 0.500
Hg 0.500 0.000 0.363
Hg 0.000 0.000 0.000
Cd 0.500 0.500 0.000
Rb 0.000 0.500 0.251
Rb 0.500 0.000 0.749

---

# RbCdHg

A relaxed RbCdHg crystal (GGA-PBE, the Alexandria database).

Computed properties:
formation enthalpy at 0 K: -0.1351 eV/atom
magnetic moment: 0.000 μB/atom
total energy: -0.863 eV per atom
Fermi-level density of states: 1.88 states/eV/f.u.

a b c (Å): 5.337 7.066 7.066
angles (deg): 80.45 112.40 112.40
Positions (direct):
Hg 0.500 0.828 0.173
Hg 0.500 0.172 0.827
Rb 0.245 0.246 0.245
Rb 0.755 0.754 0.755
Cd 0.000 0.666 0.335
Cd 0.000 0.334 0.665